Computed, not measured: a geometry-optimized Cs2CdCl structure at the GGA-PBE level of DFT.

SG ... P4/mmm (123)
Density ... 3.8 g/cm3
Uncorrected formation energy ... -895 meV/atom
Relative energy among the computed polymorphs ... 0.00 eV per formula unit

Cell and atoms, written as POSCAR:
```
Cs2CdCl
1.0
-2.711 -1.164 3.184
0.080 -4.097 -1.430
7.412 -1.825 5.643
Cd Cl Cs
1 1 2
direct
0.500 0.500 0.500
0.500 0.500 0.000
0.000 0.000 0.786
0.000 0.000 0.214
```

Computed, not measured: a geometry-optimized Al3Ir structure at the GGA-PBE level of DFT.

SG ... Pm-3m (221)
Density ... 7.8 g/cm3
Energy of formation ... -1.95 eV/f.u.

Cell and atoms, written as POSCAR:
```
Al3Ir
1.0
3.873 0.000 0.000
0.000 3.873 0.000
0.000 0.000 3.873
Al Ir
3 1
direct
0.000 0.000 0.000
0.500 0.500 0.000
0.500 0.000 0.500
0.000 0.500 0.500
```

Computed, not measured: a geometry-optimized Li3Pm2DyTe6 structure at the GGA-PBE level of DFT.

SG ... C2/m (12)
Density ... 5.8 g/cm3
Uncorrected formation energy ... -1297 meV/atom

Cell and atoms, written as POSCAR:
```
Li3Pm2DyTe6
1.0
-2.387 -6.285 3.608
6.804 0.065 -3.452
1.539 4.364 5.928
Li Dy Te Pm
3 1 6 2
direct
0.832 0.168 0.500
0.500 0.500 0.500
0.168 0.832 0.500
0.000 0.000 0.000
0.086 0.414 0.259
0.586 0.914 0.741
0.241 0.241 0.742
0.914 0.586 0.741
0.759 0.759 0.258
0.414 0.086 0.259
0.333 0.667 0.000
0.667 0.333 0.000
```

Computed, not measured: a geometry-optimized CsMgTeI2 structure at the GGA-PBE level of DFT.

SG ... P4/mmm (123)
Density ... 4.4 g/cm3
Uncorrected formation energy ... -872 meV/atom
Relative energy among the computed polymorphs ... 0.00 eV per formula unit

Cell and atoms, written as POSCAR:
```
CsMgTeI2
1.0
-5.946 0.503 -0.889
0.098 -4.947 -3.453
-0.951 -3.197 4.554
Mg I Cs Te
1 2 1 1
direct
0.000 0.000 0.000
0.000 0.500 0.000
0.500 0.000 0.000
0.500 0.500 0.500
0.000 0.000 0.500
```

Computed, not measured: a geometry-optimized Sr2SI structure at the GGA-PBE level of DFT.

SG ... R-3m (166)
Density ... 4.3 g/cm3
Uncorrected formation energy ... -1622 meV/atom
Relative energy among the computed polymorphs ... 0.01 eV per formula unit

Cell and atoms, written as POSCAR:
```
Sr2SI
1.0
-1.719 -3.124 -2.555
-0.535 -4.064 1.562
-7.885 -0.502 2.154
Sr S I
2 1 1
direct
0.267 0.267 0.199
0.733 0.733 0.801
0.000 0.000 0.000
0.500 0.500 0.500
```

Computed, not measured: a geometry-optimized Tb7Si2Sb2 structure at the GGA-PBE level of DFT.

SG ... Cmmm (65)
Density ... 7.0 g/cm3
Uncorrected formation energy ... -290 meV/atom

Cell and atoms, written as POSCAR:
```
Tb7Si2Sb2
1.0
6.899 -0.003 -0.454
0.003 7.143 0.003
-0.883 -0.003 6.858
Tb Si Sb
7 2 2
direct
0.000 0.717 0.500
0.500 0.283 0.000
0.000 0.000 0.000
0.500 0.717 0.000
0.000 0.283 0.500
0.500 0.271 0.500
0.500 0.729 0.500
0.787 0.500 0.787
0.213 0.500 0.213
0.719 0.000 0.281
0.281 0.000 0.719
```